1.
DFT (PBE-GGA) results for a relaxed structure of CrICl2.

```
CrICl2
1.0
0.0000 3.6447 3.6447
3.6447 0.0000 3.6447
3.6447 3.6447 0.0000
Cr I Cl
1 1 2
direct
0.0000 0.0000 0.0000
0.5000 0.5000 0.5000
0.2500 0.2500 0.2500
0.7500 0.7500 0.7500
```

## Properties
Its space-group type is Fm-3m (225). The calculation puts the theoretical density at 4.3 g cm⁻³.

=====

2.
DFT (PBE-GGA) results for a relaxed structure of CrICl2.

```
CrICl2
1.0
1.7727 1.0235 11.4252
-1.7727 1.0235 11.4252
0.0000 -2.0469 11.4252
Cr I Cl
1 1 2
direct
0.0000 0.0000 0.0000
0.5000 0.5000 0.5000
0.3744 0.3744 0.3744
0.6256 0.6256 0.6256
```

## Properties
Its space-group type is R-3m (166). The calculation puts the theoretical density at 3.3 g cm⁻³.

=====

Most stable: 2. Least stable: 1.

=====

1.
DFT (PBE-GGA) results for a relaxed structure of CrI3Cl.

```
CrI3Cl
1.0
6.2291 0.0000 0.0000
0.0000 7.8094 0.0000
-1.0213 0.0000 7.2868
Cr I Cl
2 6 2
direct
0.0084 0.2500 0.0122
0.9916 0.7500 0.9878
0.2189 0.5014 0.8432
0.2189 0.9986 0.8432
0.2697 0.7500 0.3055
0.7303 0.2500 0.6945
0.7811 0.0014 0.1568
0.7811 0.4986 0.1568
0.2704 0.2500 0.2549
0.7296 0.7500 0.7451
```

## Properties
Its space-group type is P2_1/m (11). The calculation puts the theoretical density at 4.4 g cm⁻³.

=====

2.
DFT (PBE-GGA) results for a relaxed structure of CrI3Cl.

```
CrI3Cl
1.0
5.4561 0.0000 0.0000
0.0000 5.4561 0.0000
0.0000 0.0000 5.4561
Cr I Cl
1 3 1
direct
0.0000 0.0000 0.0000
0.0000 0.0000 0.5000
0.0000 0.5000 0.0000
0.5000 0.0000 0.0000
0.5000 0.5000 0.5000
```

## Properties
Its space-group type is Pm-3m (221). The calculation puts the theoretical density at 4.8 g cm⁻³.

=====

3.
DFT (PBE-GGA) results for a relaxed structure of CrI3Cl.

```
CrI3Cl
1.0
5.7517 0.0000 0.0000
0.0000 5.7517 0.0000
0.0000 0.0000 5.7517
Cr I Cl
1 3 1
direct
0.0000 0.0000 0.0000
0.0000 0.5000 0.5000
0.5000 0.0000 0.5000
0.5000 0.5000 0.0000
0.5000 0.5000 0.5000
```

## Properties
Its space-group type is Pm-3m (221). The calculation puts the theoretical density at 4.1 g cm⁻³.

=====

Most stable: 1. Least stable: 3.

=====

1.
DFT (PBE-GGA) results for a relaxed structure of CrIN2Cl.

```
CrIN2Cl
1.0
3.7961 0.0000 0.0000
0.0000 3.7961 0.0000
0.0000 0.0000 5.7180
Cr I N Cl
1 1 2 1
direct
0.0000 0.0000 0.0000
0.0000 0.0000 0.5000
0.0000 0.5000 0.0000
0.5000 0.0000 0.0000
0.5000 0.5000 0.5000
```

## Properties
Its space-group type is P4/mmm (123). The calculation puts the theoretical density at 4.9 g cm⁻³.

=====

2.
DFT (PBE-GGA) results for a relaxed structure of CrIN2Cl.

```
CrIN2Cl
1.0
3.7624 0.0000 0.0000
0.0000 3.7624 0.0000
0.0000 0.0000 6.5590
Cr I N Cl
1 1 2 1
direct
0.0000 0.0000 0.0000
0.5000 0.5000 0.0000
0.0000 0.5000 0.5000
0.5000 0.0000 0.5000
0.5000 0.5000 0.5000
```

## Properties
Its space-group type is P4/mmm (123). The calculation puts the theoretical density at 4.3 g cm⁻³.

=====

Most stable: 1. Least stable: 2.

=====

1.
DFT (PBE-GGA) results for a relaxed structure of CrTe2ICl.

```
CrTe2ICl
1.0
5.0525 0.0000 0.0000
0.0000 5.0525 0.0000
0.0000 0.0000 5.4169
Cr Te I Cl
1 2 1 1
direct
0.0000 0.0000 0.0000
0.0000 0.5000 0.0000
0.5000 0.0000 0.0000
0.0000 0.0000 0.5000
0.5000 0.5000 0.5000
```

## Properties
Its space-group type is P4/mmm (123). The calculation puts the theoretical density at 5.6 g cm⁻³.

=====

2.
DFT (PBE-GGA) results for a relaxed structure of CrTe2ICl.

```
CrTe2ICl
1.0
5.4920 0.0000 0.0000
0.0000 5.4920 0.0000
0.0000 0.0000 5.5438
Cr Te I Cl
1 2 1 1
direct
0.0000 0.0000 0.0000
0.0000 0.5000 0.5000
0.5000 0.0000 0.5000
0.5000 0.5000 0.0000
0.5000 0.5000 0.5000
```

## Properties
Its space-group type is P4/mmm (123). The calculation puts the theoretical density at 4.7 g cm⁻³.

=====

Most stable: 1. Least stable: 2.

=====

1.
DFT (PBE-GGA) results for a relaxed structure of Cr2InCl.

```
Cr2InCl
1.0
1.7510 -2.7662 0.0000
1.7510 2.7662 0.0000
0.0000 0.0000 8.3508
Cr In Cl
2 1 1
direct
0.0000 0.0000 0.2369
0.0000 0.0000 0.7631
0.5000 0.5000 0.5000
0.5000 0.5000 0.0000
```

## Properties
Its space-group type is Cmmm (65). The calculation puts the theoretical density at 5.2 g cm⁻³.

=====

2.
DFT (PBE-GGA) results for a relaxed structure of Cr2InCl.

```
Cr2InCl
1.0
3.3611 0.0000 0.0000
0.0000 3.2181 0.0000
-0.0128 0.0000 7.4773
Cr In Cl
2 1 1
direct
0.0015 0.0000 0.2313
0.9985 0.0000 0.7687
0.5000 0.5000 0.0000
0.0000 0.5000 0.5000
```

## Properties
Its space-group type is P2/m (10). The calculation puts the theoretical density at 5.2 g cm⁻³.

=====

3.
DFT (PBE-GGA) results for a relaxed structure of Cr2InCl.

```
Cr2InCl
1.0
-3.6527 3.6527 3.2265
3.6527 -3.6527 3.2265
3.6527 3.6527 -3.2265
Cr In Cl
4 2 2
direct
0.0928 0.1250 0.4678
0.3750 0.9072 0.0322
0.6572 0.6250 0.5322
0.8750 0.3428 0.9678
0.2500 0.7500 0.5000
0.5000 0.5000 0.0000
0.0000 0.0000 0.0000
0.7500 0.2500 0.5000
```

## Properties
Its space-group type is I-42d (122). The calculation puts the theoretical density at 4.9 g cm⁻³.

=====

Most stable: 2. Least stable: 3.

=====

1.
DFT (PBE-GGA) results for a relaxed structure of Cr2InCl.

```
Cr2InCl
1.0
3.2137 -3.8998 0.0000
3.2137 3.8998 0.0000
0.0000 0.0000 3.1633
Cr In Cl
2 1 1
direct
0.0000 0.5000 0.0000
0.5000 0.0000 0.0000
0.0000 0.0000 0.5000
0.5000 0.5000 0.5000
```

## Properties
Its space-group type is Cmmm (65). The calculation puts the theoretical density at 5.3 g cm⁻³.

=====

2.
DFT (PBE-GGA) results for a relaxed structure of Cr2InCl.

```
Cr2InCl
1.0
4.5886 -1.5772 0.0000
4.5886 1.5772 0.0000
-4.4093 0.0000 6.5493
Cr In Cl
2 1 1
direct
0.1295 0.1295 0.3071
0.8705 0.8705 0.6929
0.5000 0.5000 0.5000
0.5000 0.5000 0.0000
```

## Properties
Its space-group type is C2/m (12). The calculation puts the theoretical density at 4.5 g cm⁻³.

=====

3.
DFT (PBE-GGA) results for a relaxed structure of Cr2InCl.

```
Cr2InCl
1.0
-1.9558 1.9558 5.4456
1.9558 -1.9558 5.4456
1.9558 1.9558 -5.4456
Cr In Cl
2 1 1
direct
0.0000 0.0000 0.0000
0.7500 0.2500 0.5000
0.2500 0.7500 0.5000
0.5000 0.5000 0.0000
```

## Properties
Its space-group type is I-4m2 (119). The calculation puts the theoretical density at 5.1 g cm⁻³.

=====

4.
DFT (PBE-GGA) results for a relaxed structure of Cr2InCl.

```
Cr2InCl
1.0
0.0000 3.3898 3.3898
3.3898 0.0000 3.3898
3.3898 3.3898 0.0000
Cr In Cl
2 1 1
direct
0.2500 0.2500 0.2500
0.7500 0.7500 0.7500
0.0000 0.0000 0.0000
0.5000 0.5000 0.5000
```

## Properties
Its space-group type is Fm-3m (225). The calculation puts the theoretical density at 5.4 g cm⁻³.

=====

Most stable: 2. Least stable: 4.

=====

1.
DFT (PBE-GGA) results for a relaxed structure of Cr2InCl.

```
Cr2InCl
1.0
3.1871 0.0000 0.0000
0.0000 3.1871 0.0000
0.0000 0.0000 7.7386
Cr In Cl
2 1 1
direct
0.0000 0.0000 0.0000
0.5000 0.5000 0.1584
0.0000 0.0000 0.3899
0.5000 0.5000 0.8135
```

## Properties
Its space-group type is P4mm (99). The calculation puts the theoretical density at 5.4 g cm⁻³.

=====

2.
DFT (PBE-GGA) results for a relaxed structure of Cr2InCl.

```
Cr2InCl
1.0
1.6767 0.9681 8.1312
-1.6767 0.9681 8.1312
0.0000 -1.9361 8.1312
Cr In Cl
2 1 1
direct
0.2456 0.2456 0.2456
0.7544 0.7544 0.7544
0.0000 0.0000 0.0000
0.5000 0.5000 0.5000
```

## Properties
Its space-group type is R-3m (166). The calculation puts the theoretical density at 5.3 g cm⁻³.

=====

3.
DFT (PBE-GGA) results for a relaxed structure of Cr2InCl.

```
Cr2InCl
1.0
-2.2572 2.2572 3.9734
2.2572 -2.2572 3.9734
2.2572 2.2572 -3.9734
Cr In Cl
2 1 1
direct
0.2500 0.7500 0.5000
0.7500 0.2500 0.5000
0.0000 0.0000 0.0000
0.5000 0.5000 0.0000
```

## Properties
Its space-group type is I4/mmm (139). The calculation puts the theoretical density at 5.2 g cm⁻³.

=====

Most stable: 1. Least stable: 3.

=====

1.
DFT (PBE-GGA) results for a relaxed structure of Cr2InCl.

```
Cr2InCl
1.0
0.0000 3.5470 3.5470
3.5470 0.0000 3.5470
3.5470 3.5470 0.0000
Cr In Cl
2 1 1
direct
0.0000 0.0000 0.0000
0.2500 0.2500 0.2500
0.7500 0.7500 0.7500
0.5000 0.5000 0.5000
```

## Properties
Its space-group type is F-43m (216). The calculation puts the theoretical density at 4.7 g cm⁻³.

=====

2.
DFT (PBE-GGA) results for a relaxed structure of Cr2InCl.

```
Cr2InCl
1.0
6.2739 -1.5387 0.0000
6.2739 1.5387 0.0000
-0.0149 0.0000 4.7958
Cr In Cl
2 1 1
direct
0.0000 0.0000 0.0000
0.6516 0.6516 0.0014
0.1278 0.1278 0.5012
0.3435 0.3435 0.0033
```

## Properties
Its space-group type is Cm (8). The calculation puts the theoretical density at 4.6 g cm⁻³.

=====

Most stable: 2. Least stable: 1.

=====

1.
DFT (PBE-GGA) results for a relaxed structure of CrIn2Cl.

```
CrIn2Cl
1.0
1.7074 0.9858 8.6778
-1.7074 0.9858 8.6778
0.0000 -1.9715 8.6778
Cr In Cl
1 2 1
direct
0.0000 0.0000 0.0000
0.2546 0.2546 0.2546
0.7454 0.7454 0.7454
0.5000 0.5000 0.5000
```

## Properties
Its space-group type is R-3m (166). The calculation puts the theoretical density at 6.0 g cm⁻³.

=====

2.
DFT (PBE-GGA) results for a relaxed structure of CrIn2Cl.

```
CrIn2Cl
1.0
0.0000 3.6866 3.6866
3.6866 0.0000 3.6866
3.6866 3.6866 0.0000
Cr In Cl
1 2 1
direct
0.0000 0.0000 0.0000
0.2500 0.2500 0.2500
0.7500 0.7500 0.7500
0.5000 0.5000 0.5000
```

## Properties
Its space-group type is Fm-3m (225). The calculation puts the theoretical density at 5.3 g cm⁻³.

=====

3.
DFT (PBE-GGA) results for a relaxed structure of CrIn2Cl.

```
CrIn2Cl
1.0
-2.1237 2.1237 5.5977
2.1237 -2.1237 5.5977
2.1237 2.1237 -5.5977
Cr In Cl
1 2 1
direct
0.0000 0.0000 0.0000
0.2500 0.7500 0.5000
0.5000 0.5000 0.0000
0.7500 0.2500 0.5000
```

## Properties
Its space-group type is I-4m2 (119). The calculation puts the theoretical density at 5.2 g cm⁻³.

=====

Most stable: 1. Least stable: 2.

=====

1.
DFT (PBE-GGA) results for a relaxed structure of Cr2In2Cl.

```
Cr2In2Cl
1.0
-1.6591 1.6591 8.9039
1.6591 -1.6591 8.9039
1.6591 1.6591 -8.9039
Cr In Cl
2 2 1
direct
0.2500 0.7500 0.5000
0.7500 0.2500 0.5000
0.1207 0.1207 0.0000
0.8793 0.8793 0.0000
0.5000 0.5000 0.0000
```

## Properties
Its space-group type is I4/mmm (139). The calculation puts the theoretical density at 6.3 g cm⁻³.

=====

2.
DFT (PBE-GGA) results for a relaxed structure of Cr2In2Cl.

```
Cr2In2Cl
1.0
8.1237 0.0000 0.0000
0.0000 8.1237 0.0000
0.0000 0.0000 3.1203
Cr In Cl
4 4 2
direct
0.0787 0.4213 0.0000
0.4213 0.9213 0.0000
0.5787 0.0787 0.0000
0.9213 0.5787 0.0000
0.2084 0.7084 0.5000
0.2916 0.2084 0.5000
0.7084 0.7916 0.5000
0.7916 0.2916 0.5000
0.0000 0.0000 0.5000
0.5000 0.5000 0.5000
```

## Properties
Its space-group type is P4/mbm (127). The calculation puts the theoretical density at 6.0 g cm⁻³.

=====

Most stable: 1. Least stable: 2.

=====

1.
DFT (PBE-GGA) results for a relaxed structure of Cr2In2Cl7.

```
Cr2In2Cl7
1.0
3.8511 -7.3139 0.0000
3.8511 7.3139 0.0000
-1.4236 0.0000 6.2734
Cr In Cl
2 2 7
direct
0.2266 0.2266 0.1222
0.7734 0.7734 0.8778
0.2036 0.7964 0.5000
0.7964 0.2036 0.5000
0.0495 0.0495 0.7642
0.1103 0.4177 0.2107
0.4177 0.1103 0.2107
0.5000 0.5000 0.0000
0.5823 0.8897 0.7893
0.8897 0.5823 0.7893
0.9505 0.9505 0.2358
```

## Properties
Its space-group type is C2/m (12). The calculation puts the theoretical density at 2.7 g cm⁻³.

=====

2.
DFT (PBE-GGA) results for a relaxed structure of Cr2In2Cl7.

```
Cr2In2Cl7
1.0
7.0406 0.0000 0.0000
0.0000 13.8538 0.0000
-0.5067 0.0000 7.7057
Cr In Cl
4 4 14
direct
0.1333 0.1264 0.3485
0.1333 0.3736 0.8485
0.8667 0.6264 0.1515
0.8667 0.8736 0.6515
0.3974 0.6516 0.5889
0.3974 0.8484 0.0889
0.6026 0.1516 0.9111
0.6026 0.3484 0.4111
0.0000 0.0000 0.5000
0.0000 0.5000 0.0000
0.1280 0.7069 0.2692
0.1280 0.7931 0.7692
0.2481 0.0708 0.1038
0.2481 0.4292 0.6038
0.4026 0.1551 0.5201
0.4026 0.3449 0.0201
0.5974 0.6551 0.9799
0.5974 0.8449 0.4799
0.7519 0.5708 0.3962
0.7519 0.9292 0.8962
0.8720 0.2069 0.2308
0.8720 0.2931 0.7308
```

## Properties
Its space-group type is P2_1/c (14). The calculation puts the theoretical density at 2.6 g cm⁻³.

=====

Most stable: 1. Least stable: 2.